NdGeHO4: relaxed, PBE.

Cell: 5.1148 9.2912 6.9086 Å, 90.00 90.00 90.00°
Closest atoms and distances in Å follow each position.
Atoms (fractional coordinates):
Ge 0.2809 0.0395 0.2500  4 O 1.74-1.79
Ge 0.2191 0.5395 0.2500  4 O 1.74-1.79
Ge 0.7809 0.4605 0.7500  4 O 1.74-1.79
Ge 0.7191 0.9605 0.7500  4 O 1.74-1.79
H 0.0000 0.0000 0.0000  2 O 1.23
H 0.5000 0.5000 0.0000  2 O 1.23
H 0.0000 0.0000 0.5000  2 O 1.23
H 0.5000 0.5000 0.5000  2 O 1.23
Nd 0.8032 0.2905 0.2500  4 O 2.30-2.45
Nd 0.6968 0.7905 0.2500  4 O 2.30-2.45
Nd 0.3032 0.2095 0.7500  4 O 2.30-2.45
Nd 0.1968 0.7095 0.7500  4 O 2.30-2.45
O 0.1097 0.1121 0.0462  1 H 1.23
O 0.3903 0.6121 0.0462  1 H 1.23
O 0.6178 0.0647 0.2500  1 Ge 1.74
O 0.2558 0.3520 0.2500  1 Ge 1.75
O 0.8822 0.5647 0.2500  1 Ge 1.74
O 0.2442 0.8520 0.2500  1 Ge 1.75
O 0.1097 0.1121 0.4538  1 H 1.23
O 0.3903 0.6121 0.4538  1 H 1.23
O 0.6097 0.3879 0.5462  1 H 1.23
O 0.8903 0.8879 0.5462  1 H 1.23
O 0.7558 0.1480 0.7500  1 Ge 1.75
O 0.1178 0.4353 0.7500  1 Ge 1.74
O 0.7442 0.6480 0.7500  1 Ge 1.75
O 0.3822 0.9353 0.7500  1 Ge 1.74
O 0.6097 0.3879 0.9538  1 H 1.23
O 0.8903 0.8879 0.9538  1 H 1.23

Summary:
Energy above the lowest structure with this stoichiometry (meV per atom): 81.4
SG: No. 62


DyBiN2O: relaxed, PBE.

Cell: 3.6228 6.7071 6.1072 Å, 90.00 90.00 90.00°
Closest atoms and distances in Å follow each position.
Atoms (fractional coordinates):
Bi 0.5000 0.3292 0.2257  4 N 2.10-2.27, 1 O 2.25
Bi 0.5000 0.6708 0.7257  4 N 2.10-2.27, 1 O 2.25
Dy 0.0000 0.8484 0.1913  4 N 2.31-2.46, 2 O 2.37
Dy 0.0000 0.1516 0.6913  4 N 2.31-2.46, 2 O 2.37
N 0.5000 0.6169 0.0919  2 Bi 2.10-2.27
N 0.0000 0.1772 0.3017  2 Bi 2.13, 2 Dy 2.31-2.39
N 0.5000 0.3831 0.5919  2 Bi 2.10-2.27
N 0.0000 0.8228 0.8017  2 Bi 2.13, 1 Dy 2.31
O 0.5000 0.8825 0.4398  1 Bi 2.25, 2 Dy 2.37
O 0.5000 0.1175 0.9398  1 Bi 2.25, 2 Dy 2.37

Summary:
Uncorrected energy (eV/cell): -66.85
SG: No. 26


KNaCoTc: relaxed, PBE.

Cell: 4.8250 4.8250 4.8250 Å, 60.00 60.00 60.00°
Closest atoms and distances in Å follow each position.
Atoms (fractional coordinates):
Co 0.5000 0.5000 0.5000  4 Na 2.95, 4 Tc 2.95
K 0.0000 0.0000 0.0000  4 Tc 2.95, 4 Na 2.95
Na 0.7500 0.7500 0.7500  4 Co 2.95, 4 K 2.95
Tc 0.2500 0.2500 0.2500  4 K 2.95, 4 Co 2.95

Summary:
Energy above the lowest structure with this stoichiometry (meV per atom): 20.7
SG: No. 216


PrNdB2Pd8: relaxed, PBE.

Cell: 5.4972 5.4972 7.6517 Å, 90.00 90.00 120.00°
Closest atoms and distances in Å follow each position.
Atoms (fractional coordinates):
B 0.6667 0.3333 0.0000  6 Pd 2.18
B 0.3333 0.6667 0.0000  6 Pd 2.18
Nd 0.0000 0.0000 0.5000  6 Pd 3.17
Pd 0.5000 0.0000 0.1960  2 B 2.18
Pd 0.0000 0.5000 0.1960  2 B 2.18
Pd 0.5000 0.5000 0.1960  2 B 2.18
Pd 0.6667 0.3333 0.5000  6 Pd 2.82
Pd 0.3333 0.6667 0.5000  6 Pd 2.82
Pd 0.5000 0.0000 0.8039  2 B 2.18
Pd 0.0000 0.5000 0.8039  2 B 2.18
Pd 0.5000 0.5000 0.8039  2 B 2.18
Pr 0.0000 0.0000 0.0000  12 Pd 3.13, 6 B 3.17

Summary:
Energy above the lowest structure with this stoichiometry (meV per atom): 7.5
SG: No. 191


Computed calculated density (Mg/m³) in order:
5.703 9.299 4.579 9.604